Record 1
16
Lattice="5.4776 0.0000 0.0000 -2.7388 4.7438 0.0000 0.0000 0.0000 20.1996" Properties=species:S:1:pos:R:3 comment="PrNd5Al2 PBE relaxed" de_polymorph_ev_per_fu=0.58 n_ef_per_ev_atom=1.82 formation_enthalpy_0k_ev_per_atom=0.00 e_tot_ev_per_atom=-4.5104 pbc="T T T"
Pr 0.0000 3.1625 5.0499
Pr 2.7388 1.5813 15.1497
Nd 0.0000 0.0000 3.1040
Nd 0.0000 0.0000 6.9958
Nd 0.0000 0.0000 13.2038
Nd 0.0000 0.0000 17.0956
Nd 0.0000 3.1625 11.2438
Nd 0.0000 3.1625 15.1497
Nd 0.0000 3.1625 19.0555
Nd 2.7388 1.5813 1.1440
Nd 2.7388 1.5813 5.0499
Nd 2.7388 1.5813 8.9558
Al 0.0000 3.1625 1.9805
Al 0.0000 3.1625 8.1193
Al 2.7388 1.5813 12.0803
Al 2.7388 1.5813 18.2191



Record 2
12
Lattice="-2.1984 2.1984 8.9084 2.1984 -2.1984 8.9084 2.1984 2.1984 -8.9084" Properties=species:S:1:pos:R:3 comment="PmCo4C PBE relaxed" n_ef_per_ev_atom=1.19 formation_enthalpy_0k_ev_per_atom=0.36 e_tot_ev_per_atom=-6.7076 pbc="T T T"
Pm 2.1984 1.0992 2.2271
Pm 0.0000 1.0992 6.6813
Co 2.1984 2.1924 -5.0719
Co 1.0933 1.0992 -0.6177
Co 1.1051 -1.0992 8.2906
Co 2.1984 -0.0059 5.0719
Co 0.0000 2.2043 3.8364
Co 1.0933 3.2975 0.6177
Co 1.1051 1.0992 9.5261
Co 0.0000 0.0059 13.9803
C 2.1984 -1.0992 6.6813
C 0.0000 3.2975 2.2271



Record 3
12
Lattice="7.6860 -2.5579 0.0000 7.6860 2.5579 0.0000 -5.1238 0.0000 10.2605" Properties=species:S:1:pos:R:3 comment="Tb5Pr5Dy2 PBE relaxed" n_ef_per_ev_atom=1.47 formation_enthalpy_0k_ev_per_atom=0.02 e_tot_ev_per_atom=-4.6693 pbc="T T T"
Tb 0.0000 0.0000 0.0000
Tb -2.5842 0.0000 7.6823
Tb 0.0079 0.0000 5.1337
Tb 10.2403 0.0000 5.1267
Tb 12.8325 0.0000 2.5782
Pr 2.5418 0.0000 2.5814
Pr 5.1537 0.0000 0.0143
Pr 5.1241 0.0000 5.1302
Pr 5.0945 0.0000 10.2462
Pr 7.7065 0.0000 7.6791
Dy 2.5758 0.0000 7.6700
Dy 7.6725 0.0000 2.5905



Record 4
5
Lattice="4.1743 0.0000 0.0000 0.0000 4.1743 0.0000 0.0000 0.0000 5.4509" Properties=species:S:1:pos:R:3 comment="SnSbSeN2 PBE relaxed" de_polymorph_ev_per_fu=0.96 n_ef_per_ev_atom=0.50 e_tot_ev_per_atom=-4.5010 pbc="T T T"
Sn 0.0000 0.0000 0.0000
Sb 2.0872 2.0872 2.7254
Se 0.0000 0.0000 2.7254
N 0.0000 2.0872 0.0000
N 2.0872 0.0000 0.0000



Record 5
5
Lattice="5.6313 0.0000 0.0000 0.0000 5.6313 0.0000 0.0000 0.0000 5.6313" Properties=species:S:1:pos:R:3 comment="KAlPb3 PBE relaxed" de_polymorph_ev_per_fu=0.00 n_ef_per_ev_atom=0.65 formation_enthalpy_0k_ev_per_atom=0.16 e_tot_ev_per_atom=-3.0374 pbc="T T T"
K 0.0000 0.0000 0.0000
Al 2.8157 2.8157 2.8157
Pb 0.0000 2.8157 2.8157
Pb 2.8157 0.0000 2.8157
Pb 2.8157 2.8157 0.0000



Record 6
16
Lattice="6.7259 0.0000 0.0000 0.0000 6.7259 0.0000 0.0000 0.0000 6.7259" Properties=species:S:1:pos:R:3 comment="RbAgW2 PBE relaxed" de_polymorph_ev_per_fu=1.97 n_ef_per_ev_atom=1.21 formation_enthalpy_0k_ev_per_atom=2.46 e_tot_ev_per_atom=-4.9708 pbc="T T T"
Rb 0.0000 0.0000 0.0000
Rb 0.0000 3.3629 3.3629
Rb 3.3629 0.0000 3.3629
Rb 3.3629 3.3629 0.0000
Ag 0.0000 0.0000 3.3629
Ag 0.0000 3.3629 0.0000
Ag 3.3629 0.0000 0.0000
Ag 3.3629 3.3629 3.3629
W 1.6815 1.6815 1.6815
W 1.6815 1.6815 5.0444
W 1.6815 5.0444 1.6815
W 1.6815 5.0444 5.0444
W 5.0444 1.6815 1.6815
W 5.0444 1.6815 5.0444
W 5.0444 5.0444 1.6815
W 5.0444 5.0444 5.0444



Number 2 is which compound? PmCo4C